Record 1
VASP calculation (PBE-GGA) on a geometry-optimized B2C structure.

a = 5.556 Å, b = 4.951 Å, c = 4.328 Å
α = 99.84°, β = 93.70°, γ = 131.03°
Fractional coordinates of all 12 atoms:
C1 0.814 0.400 0.193
C2 0.878 0.969 0.603
C3 0.471 0.067 0.177
C4 0.885 0.896 0.924
B1 0.868 0.538 0.882
B2 0.253 0.209 0.163
B3 0.515 0.615 0.961
B4 0.318 0.791 0.807
B5 0.957 0.455 0.536
B6 0.538 0.665 0.373
B7 0.221 0.352 0.587
B8 0.534 0.043 0.545

DFT total energy: -0.25741 Ha/atom
Energy above the most stable polymorph in this dataset: 0.337 eV per atom
M_tot: 0.00 μB/cell

---

Record 2
VASP calculation (PBE-GGA) on a geometry-optimized KZr3Sc structure.

a = 5.336 Å, b = 5.336 Å, c = 5.336 Å
α = 90.00°, β = 90.00°, γ = 90.00°
Fractional coordinates of all 5 atoms:
Zr1 0.000 0.500 0.000
Zr2 0.500 0.000 0.000
Zr3 0.000 0.000 0.500
Sc1 0.000 0.000 0.000
K1 0.500 0.500 0.500

DFT total energy: -0.19800 Ha/atom
Energy above the most stable polymorph in this dataset: 0.000 eV per atom
M_tot: 1.60 μB/cell

---

Record 3
VASP calculation (PBE-GGA) on a geometry-optimized HfTiFe2H structure.

a = 4.492 Å, b = 3.277 Å, c = 4.492 Å
α = 90.00°, β = 90.00°, γ = 90.00°
Fractional coordinates of all 5 atoms:
H1 0.000 0.500 0.000
Fe1 0.000 0.000 0.500
Fe2 0.500 0.000 0.000
Hf1 0.500 0.500 0.500
Ti1 0.000 0.000 0.000

DFT total energy: -0.26594 Ha/atom
M_tot: 0.79 μB/cell

---

Q: Which formula does entry 3 have?
A: HfTiFe2H